(1)
# MnCr2Os, optimized geometry, DFT GGA-PBE
data_MnCr2Os
_chemical_formula_sum 'Mn1 Cr2 Os1'
_cell_length_a 4.329
_cell_length_b 4.329
_cell_length_c 2.800
_cell_angle_alpha 90.00
_cell_angle_beta 90.00
_cell_angle_gamma 101.00
_symmetry_space_group_name_H-M 'P 1'
_symmetry_Int_Tables_number 1
_symmetry_space_group_name_Hall 'P 1'
loop_
_atom_site_label
_atom_site_fract_x
_atom_site_fract_y
_atom_site_fract_z
Os1 0.000 0.500 0.500
Cr1 0.500 0.500 0.000
Cr2 0.000 0.000 0.000
Mn1 0.500 0.000 0.500
# Total energy: -9.771 eV per atom

---

(2)
# MnCrOs, optimized geometry, DFT GGA-PBE
data_MnCrOs
_chemical_formula_sum 'Mn2 Cr2 Os2'
_cell_length_a 2.975
_cell_length_b 4.154
_cell_length_c 6.389
_cell_angle_alpha 90.03
_cell_angle_beta 103.46
_cell_angle_gamma 90.00
_symmetry_space_group_name_H-M 'P 1'
_symmetry_Int_Tables_number 1
_symmetry_space_group_name_Hall 'P 1'
loop_
_atom_site_label
_atom_site_fract_x
_atom_site_fract_y
_atom_site_fract_z
Cr1 0.754 0.250 0.507
Cr2 0.246 0.750 0.493
Mn1 0.095 0.250 0.190
Mn2 0.905 0.750 0.810
Os1 0.580 0.750 0.160
Os2 0.420 0.250 0.840
# Total energy: -9.914 eV per atom
# Energy above the most stable polymorph in this dataset: 30 meV per atom

---

(3)
# MnCr2Os, optimized geometry, DFT GGA-PBE
data_MnCr2Os
_chemical_formula_sum 'Mn1 Cr2 Os1'
_cell_length_a 4.014
_cell_length_b 2.577
_cell_length_c 4.904
_cell_angle_alpha 78.17
_cell_angle_beta 90.00
_cell_angle_gamma 90.00
_symmetry_space_group_name_H-M 'P 1'
_symmetry_Int_Tables_number 1
_symmetry_space_group_name_Hall 'P 1'
loop_
_atom_site_label
_atom_site_fract_x
_atom_site_fract_y
_atom_site_fract_z
Cr1 0.000 0.057 0.008
Cr2 0.500 0.237 0.252
Mn1 0.000 0.436 0.487
Os1 0.500 0.770 0.754
# Total energy: -9.788 eV per atom